Compound: OsW3N
Source: Alexandria via LeMat-Bulk
Functional: PBE
Structure: optimized geometry

a = 4.1045 Å, b = 4.1045 Å, c = 4.1045 Å
α = 90.00°, β = 90.00°, γ = 90.00°
Sites, in units of the cell vectors:
Os 0.5000 0.5000 0.5000
W 0.0000 0.5000 0.0000
W 0.0000 0.0000 0.5000
W 0.5000 0.0000 0.0000
N 0.0000 0.0000 0.0000

Values from the calculation:
Uncorrected formation energy (eV/atom): 0.049
M_tot (μB/cell): 0.00
E (eV for the cell shown): -58.2